[1]
DFT (PBE-GGA) results for ThBeRe after structural relaxation.

Results
Electronic total energy: -22.354 eV for the cell shown

The structure in CIF format:
```
data_ThBeRe
_cell_length_a 4.3423
_cell_length_b 4.3423
_cell_length_c 4.3423
_cell_angle_alpha 60.00
_cell_angle_beta 60.00
_cell_angle_gamma 60.00
_space_group_name_H-M_alt 'P 1'
_space_group_IT_number 1
loop_
_space_group_symop_operation_xyz
'x,y,z'
loop_
_atom_site_label
_atom_site_type_symbol
_atom_site_fract_x
_atom_site_fract_y
_atom_site_fract_z
Th1 Th 0.7500 0.7500 0.7500
Be1 Be 0.0000 0.0000 0.0000
Re1 Re 0.2500 0.2500 0.2500
```

=====

[2]
DFT (PBE-GGA) results for SrAlZn2Ge after structural relaxation.

Results
Electronic total energy: -14.270 eV for the cell shown

The structure in CIF format:
```
data_SrAlZn2Ge
_cell_length_a 6.3047
_cell_length_b 6.3047
_cell_length_c 6.3047
_cell_angle_alpha 139.57
_cell_angle_beta 139.57
_cell_angle_gamma 58.51
_space_group_name_H-M_alt 'P 1'
_space_group_IT_number 1
loop_
_space_group_symop_operation_xyz
'x,y,z'
loop_
_atom_site_label
_atom_site_type_symbol
_atom_site_fract_x
_atom_site_fract_y
_atom_site_fract_z
Ge1 Ge 0.3855 0.3855 0.0000
Zn1 Zn 0.2492 0.7492 0.5000
Zn2 Zn 0.7492 0.2492 0.5000
Al1 Al 0.6183 0.6183 0.0000
Sr1 Sr 0.9978 0.9978 0.0000
```

=====

[3]
DFT (PBE-GGA) results for InTe2PdAuS after structural relaxation.

Results
Electronic total energy: -43.398 eV for the cell shown

The structure in CIF format:
```
data_InTe2PdAuS
_cell_length_a 7.7205
_cell_length_b 7.7205
_cell_length_c 9.3412
_cell_angle_alpha 90.00
_cell_angle_beta 90.00
_cell_angle_gamma 149.63
_space_group_name_H-M_alt 'P 1'
_space_group_IT_number 1
loop_
_space_group_symop_operation_xyz
'x,y,z'
loop_
_atom_site_label
_atom_site_type_symbol
_atom_site_fract_x
_atom_site_fract_y
_atom_site_fract_z
S1 S 0.5834 0.4166 0.2500
Pd1 Pd 0.5000 0.5000 0.5000
In1 In 0.2419 0.7581 0.2500
Te1 Te 0.1444 0.8556 0.9514
Te2 Te 0.1444 0.8556 0.5486
Pd2 Pd 0.5000 0.5000 0.0000
Au1 Au 0.9858 0.0142 0.2500
Te3 Te 0.8556 0.1444 0.4514
Au2 Au 0.0142 0.9858 0.7500
Te4 Te 0.8556 0.1444 0.0486
S2 S 0.4166 0.5834 0.7500
In2 In 0.7581 0.2419 0.7500
```

=====

[4]
DFT (PBE-GGA) results for Sb2Au after structural relaxation.

Results
Electronic total energy: -19.679 eV for the cell shown

The structure in CIF format:
```
data_Sb2Au
_cell_length_a 6.0996
_cell_length_b 6.0996
_cell_length_c 6.0996
_cell_angle_alpha 60.00
_cell_angle_beta 60.00
_cell_angle_gamma 60.00
_space_group_name_H-M_alt 'P 1'
_space_group_IT_number 1
loop_
_space_group_symop_operation_xyz
'x,y,z'
loop_
_atom_site_label
_atom_site_type_symbol
_atom_site_fract_x
_atom_site_fract_y
_atom_site_fract_z
Sb1 Sb 0.6250 0.1250 0.6250
Sb2 Sb 0.6250 0.6250 0.1250
Au1 Au 0.0000 0.0000 0.0000
Sb3 Sb 0.6250 0.6250 0.6250
Sb4 Sb 0.1250 0.6250 0.6250
Au2 Au 0.2500 0.2500 0.2500
```

=====

[5]
DFT (PBE-GGA) results for Cu2GeTeSe2 after structural relaxation.

Results
Electronic total energy: -23.370 eV for the cell shown

The structure in CIF format:
```
data_Cu2GeTeSe2
_cell_length_a 7.0180
_cell_length_b 7.0180
_cell_length_c 7.0180
_cell_angle_alpha 145.84
_cell_angle_beta 60.86
_cell_angle_gamma 131.26
_space_group_name_H-M_alt 'P 1'
_space_group_IT_number 1
loop_
_space_group_symop_operation_xyz
'x,y,z'
loop_
_atom_site_label
_atom_site_type_symbol
_atom_site_fract_x
_atom_site_fract_y
_atom_site_fract_z
Se1 Se 0.8298 0.0021 0.8278
Te1 Te 0.4839 0.9839 0.5000
Se2 Se 0.1743 0.0021 0.1722
Cu1 Cu 0.4026 0.7266 0.6760
Cu2 Cu 0.0506 0.7266 0.3240
Ge1 Ge 0.7858 0.7858 0.0000
```

=====

[6]
DFT (PBE-GGA) results for LiErHgSe3 after structural relaxation.

Results
ΔE to the lowest computed polymorph: 0 meV/atom
Electronic total energy: -94.661 eV for the cell shown

The structure in CIF format:
```
data_LiErHgSe3
_cell_length_a 11.6544
_cell_length_b 4.0516
_cell_length_c 13.3507
_cell_angle_alpha 90.00
_cell_angle_beta 90.00
_cell_angle_gamma 90.00
_space_group_name_H-M_alt 'P 1'
_space_group_IT_number 1
loop_
_space_group_symop_operation_xyz
'x,y,z'
loop_
_atom_site_label
_atom_site_type_symbol
_atom_site_fract_x
_atom_site_fract_y
_atom_site_fract_z
Se1 Se 0.0796 0.7500 0.1126
Er1 Er 0.4585 0.7500 0.7656
Se2 Se 0.5796 0.7500 0.3874
Se3 Se 0.9656 0.7500 0.3922
Se4 Se 0.0344 0.2500 0.6078
Se5 Se 0.7411 0.7500 0.6461
Se6 Se 0.5344 0.2500 0.8922
Er2 Er 0.0415 0.2500 0.2656
Se7 Se 0.9204 0.2500 0.8874
Hg1 Hg 0.2853 0.7500 0.2176
Se8 Se 0.2589 0.2500 0.3539
Li1 Li 0.3724 0.7500 0.4788
Se9 Se 0.4656 0.7500 0.1078
Er3 Er 0.5415 0.2500 0.2344
Li2 Li 0.6276 0.2500 0.5212
Hg2 Hg 0.7147 0.2500 0.7824
Er4 Er 0.9585 0.7500 0.7344
Se10 Se 0.7589 0.2500 0.1461
Se11 Se 0.4204 0.2500 0.6126
Li3 Li 0.1276 0.2500 0.9788
Hg3 Hg 0.7853 0.7500 0.2824
Li4 Li 0.8724 0.7500 0.0212
Hg4 Hg 0.2147 0.2500 0.7176
Se12 Se 0.2411 0.7500 0.8539
```

=====

[7]
DFT (PBE-GGA) results for Tm3P2Se after structural relaxation.

Results
ΔE to the lowest computed polymorph: 4 meV/atom
Electronic total energy: -38.015 eV for the cell shown

The structure in CIF format:
```
data_Tm3P2Se
_cell_length_a 6.8847
_cell_length_b 6.8847
_cell_length_c 6.8847
_cell_angle_alpha 146.56
_cell_angle_beta 131.95
_cell_angle_gamma 59.81
_space_group_name_H-M_alt 'P 1'
_space_group_IT_number 1
loop_
_space_group_symop_operation_xyz
'x,y,z'
loop_
_atom_site_label
_atom_site_type_symbol
_atom_site_fract_x
_atom_site_fract_y
_atom_site_fract_z
Se1 Se 0.0000 0.0000 0.0000
Tm1 Tm 0.8224 0.3224 0.5000
P1 P 0.6639 0.6639 0.0000
Tm2 Tm 0.5000 0.0000 0.5000
P2 P 0.3361 0.3361 0.0000
Tm3 Tm 0.1776 0.6776 0.5000
```

=====

[8]
DFT (PBE-GGA) results for GdAgNO after structural relaxation.

Results
ΔE to the lowest computed polymorph: 0 meV/atom
Electronic total energy: -101.427 eV for the cell shown

The structure in CIF format:
```
data_GdAgNO
_cell_length_a 5.6681
_cell_length_b 7.7942
_cell_length_c 5.6067
_cell_angle_alpha 90.00
_cell_angle_beta 90.00
_cell_angle_gamma 90.00
_space_group_name_H-M_alt 'P 1'
_space_group_IT_number 1
loop_
_space_group_symop_operation_xyz
'x,y,z'
loop_
_atom_site_label
_atom_site_type_symbol
_atom_site_fract_x
_atom_site_fract_y
_atom_site_fract_z
O1 O 0.7457 0.4621 0.6219
O2 O 0.7543 0.4621 0.1219
N1 N 0.8514 0.8339 0.1887
Gd1 Gd 0.5438 0.6344 0.3784
N2 N 0.3514 0.1661 0.1887
Ag1 Ag 0.9338 0.9712 0.5134
Gd2 Gd 0.0438 0.3656 0.3784
O3 O 0.2543 0.5379 0.1219
N3 N 0.1486 0.1661 0.6887
Ag2 Ag 0.4338 0.0288 0.5134
O4 O 0.2457 0.5379 0.6219
Ag3 Ag 0.0662 0.0288 0.0134
N4 N 0.6486 0.8339 0.6887
Gd3 Gd 0.9562 0.6344 0.8784
Gd4 Gd 0.4562 0.3656 0.8784
Ag4 Ag 0.5662 0.9712 0.0134
```

=====

[9]
DFT (PBE-GGA) results for TbTlFeTe3 after structural relaxation.

Results
ΔE to the lowest computed polymorph: 16 meV/atom
Electronic total energy: -56.996 eV for the cell shown

The structure in CIF format:
```
data_TbTlFeTe3
_cell_length_a 8.1830
_cell_length_b 8.1830
_cell_length_c 11.3636
_cell_angle_alpha 90.00
_cell_angle_beta 90.00
_cell_angle_gamma 30.55
_space_group_name_H-M_alt 'P 1'
_space_group_IT_number 1
loop_
_space_group_symop_operation_xyz
'x,y,z'
loop_
_atom_site_label
_atom_site_type_symbol
_atom_site_fract_x
_atom_site_fract_y
_atom_site_fract_z
Tb1 Tb 0.0000 0.0000 0.5000
Tb2 Tb 0.0000 0.0000 0.0000
Tl1 Tl 0.7568 0.7568 0.2500
Te1 Te 0.9257 0.9257 0.7500
Tl2 Tl 0.2432 0.2432 0.7500
Te2 Te 0.3688 0.3689 0.0679
Te3 Te 0.6311 0.6312 0.9321
Fe1 Fe 0.5287 0.5287 0.7500
Te4 Te 0.0743 0.0743 0.2500
Fe2 Fe 0.4713 0.4713 0.2500
Te5 Te 0.6311 0.6312 0.5679
Te6 Te 0.3688 0.3689 0.4321
```

=====

[10]
DFT (PBE-GGA) results for ScFeHgPb after structural relaxation.

Results
ΔE to the lowest computed polymorph: 92 meV/atom
Electronic total energy: -17.814 eV for the cell shown

The structure in CIF format:
```
data_ScFeHgPb
_cell_length_a 4.9098
_cell_length_b 4.9098
_cell_length_c 4.9098
_cell_angle_alpha 60.00
_cell_angle_beta 60.00
_cell_angle_gamma 60.00
_space_group_name_H-M_alt 'P 1'
_space_group_IT_number 1
loop_
_space_group_symop_operation_xyz
'x,y,z'
loop_
_atom_site_label
_atom_site_type_symbol
_atom_site_fract_x
_atom_site_fract_y
_atom_site_fract_z
Hg1 Hg 0.2500 0.2500 0.2500
Sc1 Sc 0.5000 0.5000 0.5000
Fe1 Fe 0.7500 0.7500 0.7500
Pb1 Pb 0.0000 0.0000 0.0000
```

=====

[11]
DFT (PBE-GGA) results for Pr2NdTl2Zn3Cd after structural relaxation.

Results
Electronic total energy: -26.463 eV for the cell shown

The structure in CIF format:
```
data_Pr2NdTl2Zn3Cd
_cell_length_a 4.6618
_cell_length_b 7.4706
_cell_length_c 7.4706
_cell_angle_alpha 119.91
_cell_angle_beta 90.00
_cell_angle_gamma 90.00
_space_group_name_H-M_alt 'P 1'
_space_group_IT_number 1
loop_
_space_group_symop_operation_xyz
'x,y,z'
loop_
_atom_site_label
_atom_site_type_symbol
_atom_site_fract_x
_atom_site_fract_y
_atom_site_fract_z
Zn1 Zn 0.5000 0.0000 0.2283
Zn2 Zn 0.5000 0.2283 0.0000
Cd1 Cd 0.0000 0.0018 0.0018
Zn3 Zn 0.5000 0.7720 0.7720
Tl1 Tl 0.5000 0.3337 0.6654
Pr1 Pr 0.0000 0.9993 0.5804
Pr2 Pr 0.0000 0.5804 0.9993
Tl2 Tl 0.5000 0.6654 0.3337
Nd1 Nd 0.0000 0.4189 0.4189
```

=====

[12]
DFT (PBE-GGA) results for KTbCdTe3 after structural relaxation.

Results
Electronic total energy: -43.333 eV for the cell shown

The structure in CIF format:
```
data_KTbCdTe3
_cell_length_a 4.3707
_cell_length_b 9.1320
_cell_length_c 10.4124
_cell_angle_alpha 102.98
_cell_angle_beta 101.94
_cell_angle_gamma 90.12
_space_group_name_H-M_alt 'P 1'
_space_group_IT_number 1
loop_
_space_group_symop_operation_xyz
'x,y,z'
loop_
_atom_site_label
_atom_site_type_symbol
_atom_site_fract_x
_atom_site_fract_y
_atom_site_fract_z
Te1 Te 0.1562 0.5415 0.3158
Te2 Te 0.1529 0.1069 0.3054
Te3 Te 0.5051 0.7504 0.0109
K1 K 0.6772 0.8341 0.3561
Cd1 Cd 0.6795 0.3356 0.3611
Tb1 Tb 0.0000 0.5000 0.0000
Cd2 Cd 0.3205 0.6644 0.6389
Tb2 Tb 0.0000 0.0000 0.0000
Te4 Te 0.8438 0.4585 0.6842
Te5 Te 0.4949 0.2496 0.9891
Te6 Te 0.8471 0.8931 0.6946
K2 K 0.3228 0.1659 0.6439
```

=====

Q: Which formula does entry 6 have?
A: LiErHgSe3